1.
First-principles (PBE) data for a relaxed KAg2BSe4 crystal, as listed in Alexandria via LeMat-Bulk.

Lattice parameters (Å, degrees): 6.8088 6.2921 6.2921 80.20 57.24 57.24
Element x y z (fractional)
K: 0.0000 0.0000 0.0000
Se: 0.9998 0.8152 0.5481
Se: 0.0002 0.4519 0.1848
Se: 0.6369 0.5481 0.8152
Se: 0.3631 0.1848 0.4519
Ag: 0.5000 0.7490 0.2510
Ag: 0.5000 0.2510 0.7490
B: 0.0000 0.5000 0.5000

Its density of states at the Fermi level is 3.61 states/eV/f.u. For the uncorrected formation energy, the calculation gives -0.298 eV per atom. The energy is -3.72 eV per atom.

---

2.
First-principles (PBE) data for a relaxed KAgBSe2 crystal, as listed in Alexandria via LeMat-Bulk.

Lattice parameters (Å, degrees): 5.7700 5.3996 5.7700 90.00 90.00 90.00
Element x y z (fractional)
Se: 0.0000 0.0000 0.5000
Se: 0.5000 0.0000 0.0000
Ag: 0.0000 0.5000 0.0000
K: 0.0000 0.0000 0.0000
B: 0.5000 0.5000 0.5000

Its density of states at the Fermi level is 6.04 states/eV/f.u. For the uncorrected formation energy, the calculation gives 1.749 eV per atom. The energy is -1.77 eV per atom.

---

3.
First-principles (PBE) data for a relaxed KAgBSe3 crystal, as listed in Alexandria via LeMat-Bulk.

Lattice parameters (Å, degrees): 6.4065 6.7425 7.5018 116.70 90.00 90.00
Element x y z (fractional)
B: 0.2500 0.0641 0.1283
B: 0.7500 0.9359 0.8717
Se: 0.5000 0.7867 0.0000
Se: 0.0000 0.7867 0.0000
Se: 0.0000 0.2133 0.0000
Se: 0.5000 0.2133 0.0000
Se: 0.2500 0.2127 0.4253
Se: 0.7500 0.7873 0.5747
Ag: 0.2500 0.4214 0.8429
Ag: 0.7500 0.5786 0.1571
K: 0.7500 0.2474 0.4948
K: 0.2500 0.7526 0.5052

Its density of states at the Fermi level is 1.90 states/eV/f.u. For the uncorrected formation energy, the calculation gives -0.143 eV per atom. The energy is -3.66 eV per atom.

---

4.
First-principles (PBE) data for a relaxed KVAgB2 crystal, as listed in Alexandria via LeMat-Bulk.

Lattice parameters (Å, degrees): 4.2302 5.3092 4.2302 90.00 90.00 90.00
Last column: magnetic moment on the atom in μB.
Element x y z (fractional)
K: 0.5000 0.5000 0.5000  0.00
Ag: 0.0000 0.5000 0.0000  0.03
V: 0.0000 0.0000 0.0000  0.41
B: 0.0000 0.0000 0.5000  0.02
B: 0.5000 0.0000 0.0000  -0.01

Its density of states at the Fermi level is 4.47 states/eV/f.u. As for the energy relative to the elements: 5.8 eV/f.u. The energy is -4.12 eV per atom.

---

5.
First-principles (PBE) data for a relaxed LaAgB3 crystal, as listed in Alexandria via LeMat-Bulk.

Lattice parameters (Å, degrees): 4.3073 4.3073 4.3073 90.00 90.00 90.00
Element x y z (fractional)
La: 0.5000 0.5000 0.5000
B: 0.5000 0.0000 0.0000
B: 0.0000 0.0000 0.5000
B: 0.0000 0.5000 0.0000
Ag: 0.0000 0.0000 0.0000

Its density of states at the Fermi level is 4.49 states/eV/f.u. The value obtained for the polymorph energy (0 for the lowest one) is 0 meV per atom. As for the energy relative to the elements: 6.0 eV/f.u. The energy is -4.36 eV per atom.

---

6.
First-principles (PBE) data for a relaxed La2AgB crystal, as listed in Alexandria via LeMat-Bulk.

Lattice parameters (Å, degrees): 7.6294 7.6294 6.6221 54.83 54.83 90.00
Element x y z (fractional)
B: 0.2500 0.7500 0.5000
B: 0.5000 0.5000 0.0000
La: 0.8750 0.8124 0.7500
La: 0.3750 0.4376 0.7500
La: 0.5624 0.1250 0.2500
La: 0.1876 0.6250 0.2500
Ag: 0.0000 0.0000 0.0000
Ag: 0.7500 0.2500 0.5000

Its density of states at the Fermi level is 4.71 states/eV/f.u. As for the energy relative to the elements: 0.9 eV/f.u. The energy is -4.62 eV per atom.

---

7.
First-principles (PBE) data for a relaxed La3AgB crystal, as listed in Alexandria via LeMat-Bulk.

Lattice parameters (Å, degrees): 5.3148 5.3148 5.3148 90.00 90.00 90.00
Element x y z (fractional)
B: 0.0000 0.0000 0.0000
La: 0.0000 0.5000 0.0000
La: 0.0000 0.0000 0.5000
La: 0.5000 0.0000 0.0000
Ag: 0.5000 0.5000 0.5000

Its density of states at the Fermi level is 6.89 states/eV/f.u. The value obtained for the polymorph energy (0 for the lowest one) is 0 meV per atom. As for the energy relative to the elements: 0.4 eV/f.u. The energy is -4.78 eV per atom.

---

8.
First-principles (PBE) data for a relaxed LaAg2B crystal, as listed in Alexandria via LeMat-Bulk.

Lattice parameters (Å, degrees): 5.0663 5.0663 8.0657 71.70 71.70 90.00
Element x y z (fractional)
Ag: 0.4417 0.1250 0.2500
Ag: 0.3750 0.5583 0.7500
Ag: 0.8750 0.6917 0.7500
Ag: 0.3083 0.6250 0.2500
B: 0.5000 0.5000 0.0000
B: 0.2500 0.7500 0.5000
La: 0.0000 0.0000 0.0000
La: 0.7500 0.2500 0.5000

Its density of states at the Fermi level is 1.44 states/eV/f.u. As for the energy relative to the elements: 1.6 eV/f.u. The energy is -3.92 eV per atom.